No. 1
Material: Ti2GaMo
Method: DFT, GGA-PBE
State: optimized geometry

As for the density: 6.44 Mg/m³. Its density of states at the Fermi level is 0.687 states/eV per atom. Its formation energy from the elements is 0.253 eV/atom. The magnetic moment comes out at 0.0000 μB/atom.

abc: 5.896 5.896 5.896
angles: 54.60 152.84 133.59
Sites, in units of the cell vectors:
Mo 0.000 0.500 0.500
Ti 0.000 0.757 0.757
Ti 0.000 0.243 0.243
Ga 0.000 0.000 0.000

No. 2
Material: HfTiAl2
Method: DFT, GGA-PBE
State: optimized geometry

As for the density: 6.64 Mg/m³. Its density of states at the Fermi level is 1.138 states/eV per atom. Its formation energy from the elements is -0.213 eV/atom. The magnetic moment comes out at 0.1594 μB/atom.

abc: 4.629 4.629 4.629
angles: 60.00 60.00 60.00
Each line ends with the local moment (μB).
Sites, in units of the cell vectors:
Hf 0.500 0.500 0.500  0.05
Al 0.250 0.250 0.250  0.00
Al 0.750 0.750 0.750  0.00
Ti 0.000 0.000 0.000  0.43

No. 3
Material: YSbP2
Method: DFT, GGA-PBE
State: optimized geometry

The calculation puts the uncorrected formation energy at -414 meV/atom. As for the density: 4.64 Mg/m³. Its density of states at the Fermi level is 0.184 states/eV per atom. The magnetic moment comes out at 0.0000 μB/atom.

abc: 5.604 5.604 5.077
angles: 98.83 98.83 38.32
Sites, in units of the cell vectors:
P 0.984 0.984 0.110
P 0.516 0.516 0.390
Y 0.250 0.250 0.250
Sb 0.750 0.750 0.750

No. 4
Material: CrNi2H2
Method: DFT, GGA-PBE
State: optimized geometry

As for the density: 7.61 Mg/m³. Its density of states at the Fermi level is 0.911 states/eV per atom. The magnetic moment comes out at 0.0000 μB/atom.

abc: 2.604 2.604 6.365
angles: 90.00 90.00 120.00
Sites, in units of the cell vectors:
H 0.833 0.167 0.173
H 0.167 0.833 0.827
Ni 0.167 0.833 0.339
Ni 0.833 0.167 0.661
Cr 0.500 0.500 0.000

Number 1: E_tot -7.159 eV per atom. Number 2: E_tot -6.546 eV per atom. Number 3: E_tot -5.766 eV per atom. Number 4: E_tot -5.585 eV per atom.